GaSiSn3 after structural relaxation. Source: Alexandria via LeMat-Bulk, functional GGA-PBE.

Summary:
N(E_F)   0.67 states/eV/atom
Space group   Pm-3m
E_form (uncorrected)   0.50 eV/atom
Raw total energy   -3.59 eV/atom

a = 5.2355 Å, b = 5.2355 Å, c = 5.2355 Å
α = 90.00°, β = 90.00°, γ = 90.00°
Fractional coordinates of all 5 atoms:
Ga: 0.0000 0.0000 0.0000
Si: 0.5000 0.5000 0.5000
Sn: 0.0000 0.5000 0.5000
Sn: 0.5000 0.0000 0.5000
Sn: 0.5000 0.5000 0.0000


RbMnSe2Br after structural relaxation. Source: Alexandria via LeMat-Bulk, functional GGA-PBE.

Summary:
N(E_F)   0.66 states/eV/atom
Space group   P4/mmm
E_form (uncorrected)   -0.64 eV/atom
Raw total energy   -4.40 eV/atom

a = 4.9163 Å, b = 4.9163 Å, c = 5.6877 Å
α = 90.00°, β = 90.00°, γ = 90.00°
Fractional coordinates of all 5 atoms:
Rb: 0.0000 0.0000 0.0000
Mn: 0.5000 0.5000 0.5000
Se: 0.0000 0.5000 0.5000
Se: 0.5000 0.0000 0.5000
Br: 0.5000 0.5000 0.0000


Nd2HoAl after structural relaxation. Source: Alexandria via LeMat-Bulk, functional GGA-PBE.

Summary:
Formation energy from the elements   -0.166 eV per atom
N(E_F)   1.43 states/eV/atom
Space group   P4/mmm
Raw total energy   -4.63 eV/atom

a = 4.8476 Å, b = 4.8476 Å, c = 4.8699 Å
α = 90.00°, β = 90.00°, γ = 90.00°
Fractional coordinates of all 4 atoms:
Nd: 0.0000 0.5000 0.0000
Nd: 0.5000 0.0000 0.0000
Ho: 0.0000 0.0000 0.5000
Al: 0.5000 0.5000 0.5000


La2TlSn after structural relaxation. Source: Alexandria via LeMat-Bulk, functional GGA-PBE.

Summary:
Formation energy from the elements   -0.316 eV per atom
N(E_F)   1.07 states/eV/atom
Space group   I-42d
Raw total energy   -4.37 eV/atom

a = 7.1250 Å, b = 7.1250 Å, c = 7.1250 Å
α = 103.35°, β = 103.35°, γ = 122.56°
Fractional coordinates of all 8 atoms:
La: 0.1203 0.6250 0.9953
La: 0.3750 0.3703 0.4953
La: 0.6297 0.1250 0.0047
La: 0.8750 0.8797 0.5047
Tl: 0.2500 0.7500 0.5000
Tl: 0.5000 0.5000 0.0000
Sn: 0.0000 0.0000 0.0000
Sn: 0.7500 0.2500 0.5000